Ac2CdNiO6 | PBE with a Hubbard U | relaxed

```
Ac2CdNiO6
1.0
-0.693 4.704 -3.309
-2.878 -3.169 -3.902
-6.993 1.557 3.892
Ac Cd Ni O
4 2 2 12
Cartesian
-4.520 -2.629 -2.823
-7.129 1.859 -0.858
-6.044 5.722 -0.496
-3.435 1.233 -2.460
-0.347 2.352 -1.654
-4.935 -0.806 -0.005
-3.843 3.131 0.292
-1.439 -1.584 -1.951
-2.489 -0.926 -3.426
-6.623 1.884 -3.529
-8.075 4.018 0.107
-3.941 1.209 0.211
-5.501 -0.195 -2.119
-9.421 2.851 -1.931
-5.063 3.287 -1.200
-1.143 0.241 -1.388
-3.730 3.036 -4.188
-8.201 0.007 -2.380
-6.834 0.057 0.870
-2.362 3.086 -0.938
```

Space-group type: P2_1/c (14)
E (eV per atom): -6.190